First-principles (PBE) data for crystalline Co2CuOs at its relaxed geometry, as listed in Alexandria via LeMat-Bulk.

Output
- electronic total energy (eV per atom) = -7.138
- energy of formation from the pure elements (eV/atom) = 0.25
- relative energy among the computed polymorphs (kcal/mol of atoms) = 2.07
- total magnetic moment (μB/f.u.) = 2.1

Lattice parameters (Å, degrees): 8.444 2.573 4.490 90.00 98.91 90.00
Space group C2/m (No. 12)
Inequivalent atoms, fractional coordinates:
Co (0.248, 0.000, 0.242) (multiplicity 4)
Cu (0.000, 0.000, 0.500) (multiplicity 2)
Os (0.000, 0.500, 0.000) (multiplicity 2)


First-principles (PBE) data for crystalline Sm3Er12Th at its relaxed geometry, as listed in Alexandria via LeMat-Bulk.

Output
- electronic total energy (eV per atom) = -4.746
- energy of formation from the pure elements (eV/atom) = 0.03
- total magnetic moment (μB/f.u.) = 0.0

Lattice parameters (Å, degrees): 5.000 5.000 19.985 90.00 90.00 90.00
Space group P4/mmm (No. 123)
Inequivalent atoms, fractional coordinates:
Sm (0.000, 0.000, 0.000) (multiplicity 1)
Sm (0.000, 0.000, 0.251) (multiplicity 2)
Er (0.000, 0.500, 0.125) (multiplicity 4)
Er (0.000, 0.500, 0.377) (multiplicity 4)
Er (0.500, 0.500, 0.000) (multiplicity 1)
Er (0.500, 0.500, 0.250) (multiplicity 2)
Er (0.500, 0.500, 0.500) (multiplicity 1)
Th (0.000, 0.000, 0.500) (multiplicity 1)


First-principles (PBE) data for crystalline UBe2Ir at its relaxed geometry, as listed in Alexandria via LeMat-Bulk.

Output
- electronic total energy (eV per atom) = -7.167
- energy of formation from the pure elements (eV/atom) = -0.27
- total magnetic moment (μB/f.u.) = 1.8

Lattice parameters (Å, degrees): 2.843 2.843 6.718 90.00 90.00 90.00
Space group P4/mmm (No. 123)
Inequivalent atoms, fractional coordinates:
U (0.000, 0.000, 0.000) (multiplicity 1)
Be (0.500, 0.500, 0.321) (multiplicity 2)
Ir (0.000, 0.000, 0.500) (multiplicity 1)


Please write out number 1 again, unchanged.
First-principles (PBE) data for crystalline Co2CuOs at its relaxed geometry, as listed in Alexandria via LeMat-Bulk.

Output
- electronic total energy (eV per atom) = -7.138
- energy of formation from the pure elements (eV/atom) = 0.25
- relative energy among the computed polymorphs (kcal/mol of atoms) = 2.07
- total magnetic moment (μB/f.u.) = 2.1

Lattice parameters (Å, degrees): 8.444 2.573 4.490 90.00 98.91 90.00
Space group C2/m (No. 12)
Inequivalent atoms, fractional coordinates:
Co (0.248, 0.000, 0.242) (multiplicity 4)
Cu (0.000, 0.000, 0.500) (multiplicity 2)
Os (0.000, 0.500, 0.000) (multiplicity 2)


electronic total energy of number 1 (Co2CuOs)?
-7.138 eV per atom


The highest energy of formation from the pure elements belongs to which entry?
Co2CuOs


Number 3 is which compound?
UBe2Ir